Arrangement one

The following is a DFT calculation (PBE-GGA) of an optimized crystal structure of Nb6SiGe.

Lattice parameters (Å, degrees): 5.1584 5.1584 5.1584 90.00 90.00 90.00
Fractional coordinates of all 8 atoms:
Nb: 0.0000 0.5000 0.7469
Nb: 0.5000 0.2531 0.0000
Nb: 0.7469 0.0000 0.5000
Nb: 0.0000 0.5000 0.2531
Nb: 0.5000 0.7469 0.0000
Nb: 0.2531 0.0000 0.5000
Si: 0.5000 0.5000 0.5000
Ge: 0.0000 0.0000 0.0000

Values from the calculation:
The mass density is 7.962 g cm⁻³. Its space group is No. 200. The crystal system is cubic. Its size of the total moment is 0.00 μB per formula unit.

***

Arrangement two

The following is a DFT calculation (PBE-GGA) of an optimized crystal structure of Nb6SiGe.

Lattice parameters (Å, degrees): 6.0168 6.0169 6.0381 60.11 60.11 60.00
Fractional coordinates of all 8 atoms:
Nb: 0.0129 0.4797 0.7520
Nb: 0.7555 0.0129 0.7520
Nb: 0.5203 0.2445 0.2481
Nb: 0.2445 0.9871 0.2480
Nb: 0.9871 0.5203 0.2480
Nb: 0.4797 0.7555 0.7519
Si: 0.0000 0.0000 0.0000
Ge: 0.5000 0.5000 0.5000

Values from the calculation:
The mass density is 7.059 g cm⁻³. Its space group is No. 148. The crystal system is trigonal. Its size of the total moment is 0.00 μB per formula unit.

***

Quick ranking, most stable first: arrangement one, arrangement two.

***

Arrangement one

The following is a DFT calculation (PBE-GGA) of an optimized crystal structure of NbSiGe3.

Lattice parameters (Å, degrees): 5.0085 5.0085 5.0085 90.00 90.00 90.00
Fractional coordinates of all 5 atoms:
Nb: 0.0000 0.0000 0.0000
Si: 0.5000 0.5000 0.5000
Ge: 0.0000 0.5000 0.0000
Ge: 0.0000 0.0000 0.5000
Ge: 0.5000 0.0000 0.0000

Values from the calculation:
The mass density is 4.479 g cm⁻³. Its space group is No. 221. The crystal system is cubic. Its size of the total moment is 0.00 μB per formula unit.

***

Arrangement two

The following is a DFT calculation (PBE-GGA) of an optimized crystal structure of NbSiGe3.

Lattice parameters (Å, degrees): 4.6828 4.6828 4.6828 90.00 90.00 90.00
Fractional coordinates of all 5 atoms:
Nb: 0.5000 0.5000 0.5000
Si: 0.0000 0.0000 0.0000
Ge: 0.0000 0.5000 0.0000
Ge: 0.0000 0.0000 0.5000
Ge: 0.5000 0.0000 0.0000

Values from the calculation:
The mass density is 5.480 g cm⁻³. Its space group is No. 221. The crystal system is cubic. Its size of the total moment is 0.00 μB per formula unit.

***

Quick ranking, most stable first: arrangement one, arrangement two.

***

Arrangement one

The following is a DFT calculation (PBE-GGA) of an optimized crystal structure of Nb2SnGe2.

Lattice parameters (Å, degrees): 7.3380 7.3380 3.5107 90.00 90.00 90.00
Fractional coordinates of all 10 atoms:
Nb: 0.3547 0.8547 0.0000
Nb: 0.8547 0.6453 0.0000
Nb: 0.6453 0.1453 0.0000
Nb: 0.1453 0.3547 0.0000
Ge: 0.1457 0.6457 0.5000
Ge: 0.6457 0.8543 0.5000
Ge: 0.8543 0.3543 0.5000
Ge: 0.3543 0.1457 0.5000
Sn: 0.0000 0.0000 0.0000
Sn: 0.5000 0.5000 0.0000

Values from the calculation:
The mass density is 7.902 g cm⁻³. Its space group is No. 127. The crystal system is tetragonal. Its size of the total moment is 0.00 μB per formula unit.

***

Arrangement two

The following is a DFT calculation (PBE-GGA) of an optimized crystal structure of Nb2SnGe2.

Lattice parameters (Å, degrees): 7.2640 7.2640 3.4814 90.00 90.00 90.00
Fractional coordinates of all 10 atoms:
Nb: 0.1647 0.6647 0.5000
Nb: 0.6647 0.8353 0.5000
Nb: 0.8353 0.3353 0.5000
Nb: 0.3353 0.1647 0.5000
Ge: 0.3714 0.8714 0.0000
Ge: 0.8714 0.6286 0.0000
Ge: 0.6286 0.1286 0.0000
Ge: 0.1286 0.3714 0.0000
Sn: 0.0000 0.0000 0.0000
Sn: 0.5000 0.5000 0.0000

Values from the calculation:
The mass density is 8.132 g cm⁻³. Its space group is No. 127. The crystal system is tetragonal. Its size of the total moment is 0.00 μB per formula unit.

***

Quick ranking, most stable first: arrangement one, arrangement two.

***

Arrangement one

The following is a DFT calculation (PBE-GGA) of an optimized crystal structure of Nb3SnGe.

Lattice parameters (Å, degrees): 5.0445 5.0445 5.0445 90.00 90.00 90.00
Fractional coordinates of all 5 atoms:
Nb: 0.0000 0.5000 0.0000
Nb: 0.0000 0.0000 0.5000
Nb: 0.5000 0.0000 0.0000
Ge: 0.5000 0.5000 0.5000
Sn: 0.0000 0.0000 0.0000

Values from the calculation:
The mass density is 6.081 g cm⁻³. Its space group is No. 221. The crystal system is cubic. Its size of the total moment is 0.00 μB per formula unit.

***

Arrangement two

The following is a DFT calculation (PBE-GGA) of an optimized crystal structure of Nb3SnGe.

Lattice parameters (Å, degrees): 7.7044 7.7044 9.9814 81.06 81.06 39.79
Fractional coordinates of all 20 atoms:
Nb: 0.8983 0.9150 0.7743
Nb: 0.0850 0.1017 0.7257
Nb: 0.1017 0.0850 0.2257
Nb: 0.9150 0.8983 0.2743
Nb: 0.6703 0.7296 0.7229
Nb: 0.2704 0.3297 0.7771
Nb: 0.3297 0.2704 0.2771
Nb: 0.7296 0.6703 0.2229
Nb: 0.3169 0.8028 0.9760
Nb: 0.1972 0.6831 0.5240
Nb: 0.8028 0.3169 0.4760
Nb: 0.6831 0.1972 0.0240
Sn: 0.8984 0.3922 0.9707
Sn: 0.6078 0.1016 0.5293
Sn: 0.1016 0.6078 0.0293
Sn: 0.3922 0.8984 0.4707
Ge: 0.0000 0.5000 0.5000
Ge: 0.5000 0.0000 0.0000
Ge: 0.5023 0.4977 0.2500
Ge: 0.4977 0.5023 0.7500

Values from the calculation:
The mass density is 8.350 g cm⁻³. Its space group is No. 15. The crystal system is monoclinic. Its size of the total moment is 0.00 μB per formula unit.

***

Quick ranking, most stable first: arrangement two, arrangement one.

***

Arrangement one

The following is a DFT calculation (PBE-GGA) of an optimized crystal structure of SrNb3Ge.

Lattice parameters (Å, degrees): 4.8880 4.8880 4.8880 90.00 90.00 90.00
Fractional coordinates of all 5 atoms:
Sr: 0.0000 0.0000 0.0000
Nb: 0.0000 0.5000 0.0000
Nb: 0.0000 0.0000 0.5000
Nb: 0.5000 0.0000 0.0000
Ge: 0.5000 0.5000 0.5000

Values from the calculation:
The mass density is 6.242 g cm⁻³. Its space group is No. 221. The crystal system is cubic. Its size of the total moment is 0.00 μB per formula unit.

***

Arrangement two

The following is a DFT calculation (PBE-GGA) of an optimized crystal structure of SrNb3Ge.

Lattice parameters (Å, degrees): 4.9725 4.9725 4.9725 90.00 90.00 90.00
Fractional coordinates of all 5 atoms:
Sr: 0.5000 0.5000 0.5000
Nb: 0.0000 0.5000 0.0000
Nb: 0.0000 0.0000 0.5000
Nb: 0.5000 0.0000 0.0000
Ge: 0.0000 0.0000 0.0000

Values from the calculation:
The mass density is 5.929 g cm⁻³. Its space group is No. 221. The crystal system is cubic. Its size of the total moment is 0.00 μB per formula unit.

***

Quick ranking, most stable first: arrangement two, arrangement one.

***

Arrangement one

The following is a DFT calculation (PBE-GGA) of an optimized crystal structure of TaNbGe2.

Lattice parameters (Å, degrees): 2.9908 2.9908 9.0345 80.47 80.47 60.00
Fractional coordinates of all 4 atoms:
Nb: 0.5000 0.5000 0.5000
Ge: 0.7500 0.7500 0.7499
Ge: 0.2500 0.2500 0.2501
Ta: 0.0000 0.0000 0.0000

Values from the calculation:
The mass density is 10.132 g cm⁻³. Its space group is No. 166. The crystal system is trigonal. Its size of the total moment is 0.00 μB per formula unit.

***

Arrangement two

The following is a DFT calculation (PBE-GGA) of an optimized crystal structure of TaNbGe2.

Lattice parameters (Å, degrees): 4.5605 4.5605 4.5605 60.00 60.00 60.00
Fractional coordinates of all 4 atoms:
Nb: 0.0000 0.0000 0.0000
Ge: 0.2500 0.2500 0.2500
Ge: 0.7500 0.7500 0.7500
Ta: 0.5000 0.5000 0.5000

Values from the calculation:
The mass density is 10.377 g cm⁻³. Its space group is No. 225. The crystal system is cubic. Its size of the total moment is 0.00 μB per formula unit.

***

Arrangement three

The following is a DFT calculation (PBE-GGA) of an optimized crystal structure of TaNbGe2.

Lattice parameters (Å, degrees): 5.8694 5.8694 7.1622 65.81 65.81 90.00
Fractional coordinates of all 8 atoms:
Nb: 0.5000 0.5000 0.0000
Nb: 0.2500 0.7500 0.5000
Ge: 0.6269 0.1250 0.2500
Ge: 0.1231 0.6250 0.2500
Ge: 0.3750 0.3731 0.7500
Ge: 0.8750 0.8769 0.7500
Ta: 0.0000 0.0000 0.0000
Ta: 0.7500 0.2500 0.5000

Values from the calculation:
The mass density is 6.922 g cm⁻³. Its space group is No. 122. The crystal system is tetragonal. Its size of the total moment is 0.00 μB per formula unit.

***

Quick ranking, most stable first: arrangement two, arrangement one, arrangement three.

***

Arrangement one

The following is a DFT calculation (PBE-GGA) of an optimized crystal structure of TaNbGe3.

Lattice parameters (Å, degrees): 4.9404 4.9404 4.9404 90.00 90.00 90.00
Fractional coordinates of all 5 atoms:
Nb: 0.5000 0.5000 0.5000
Ge: 0.0000 0.5000 0.0000
Ge: 0.0000 0.0000 0.5000
Ge: 0.5000 0.0000 0.0000
Ta: 0.0000 0.0000 0.0000

Values from the calculation:
The mass density is 6.772 g cm⁻³. Its space group is No. 221. The crystal system is cubic. Its size of the total moment is 2.93 μB per formula unit.

***

Arrangement two

The following is a DFT calculation (PBE-GGA) of an optimized crystal structure of TaNbGe3.

Lattice parameters (Å, degrees): 4.8996 4.8996 4.8996 90.00 90.00 90.00
Fractional coordinates of all 5 atoms:
Nb: 0.0000 0.0000 0.0000
Ge: 0.0000 0.5000 0.0000
Ge: 0.0000 0.0000 0.5000
Ge: 0.5000 0.0000 0.0000
Ta: 0.5000 0.5000 0.5000

Values from the calculation:
The mass density is 6.943 g cm⁻³. Its space group is No. 221. The crystal system is cubic. Its size of the total moment is 1.99 μB per formula unit.

***

Quick ranking, most stable first: arrangement one, arrangement two.

***

Arrangement one

The following is a DFT calculation (PBE-GGA) of an optimized crystal structure of NbTcGe3.

Lattice parameters (Å, degrees): 4.8762 8.5779 8.5779 78.56 96.94 96.94
Fractional coordinates of all 20 atoms:
Nb: 0.9328 0.1608 0.3557
Nb: 0.5672 0.6443 0.8392
Nb: 0.0672 0.8392 0.6443
Nb: 0.4328 0.3557 0.1608
Tc: 0.7500 0.9525 0.0475
Tc: 0.2500 0.0475 0.9525
Tc: 0.7500 0.2308 0.7692
Tc: 0.2500 0.7692 0.2308
Ge: 0.4033 0.0501 0.2557
Ge: 0.0967 0.7443 0.9499
Ge: 0.5967 0.9499 0.7443
Ge: 0.9033 0.2557 0.0501
Ge: 0.2141 0.1546 0.6403
Ge: 0.2859 0.3597 0.8454
Ge: 0.7859 0.8454 0.3597
Ge: 0.7141 0.6403 0.1546
Ge: 0.6422 0.3476 0.4665
Ge: 0.8578 0.5335 0.6524
Ge: 0.3578 0.6524 0.5335
Ge: 0.1422 0.4665 0.3476

Values from the calculation:
The mass density is 7.818 g cm⁻³. Its space group is No. 15. The crystal system is monoclinic. Its size of the total moment is 0.00 μB per formula unit.

***

Arrangement two

The following is a DFT calculation (PBE-GGA) of an optimized crystal structure of NbTcGe3.

Lattice parameters (Å, degrees): 4.7323 4.7323 4.7323 90.00 90.00 90.00
Fractional coordinates of all 5 atoms:
Nb: 0.5000 0.5000 0.5000
Ge: 0.0000 0.5000 0.0000
Ge: 0.0000 0.0000 0.5000
Ge: 0.5000 0.0000 0.0000
Tc: 0.0000 0.0000 0.0000

Values from the calculation:
The mass density is 6.406 g cm⁻³. Its space group is No. 221. The crystal system is cubic. Its size of the total moment is 0.00 μB per formula unit.

***

Quick ranking, most stable first: arrangement one, arrangement two.

***

Arrangement one

The following is a DFT calculation (PBE-GGA) of an optimized crystal structure of NbTcGe.

Lattice parameters (Å, degrees): 6.4625 4.0468 9.4171 90.00 127.13 90.00
Fractional coordinates of all 12 atoms:
Nb: 0.3211 0.0000 0.5599
Nb: 0.6789 0.0000 0.4401
Nb: 0.3211 0.5000 0.0599
Nb: 0.6789 0.5000 0.9401
Tc: 0.9307 0.0000 0.8466
Tc: 0.0693 0.0000 0.1534
Tc: 0.9307 0.5000 0.3466
Tc: 0.0693 0.5000 0.6534
Ge: 0.6943 0.0000 0.1645
Ge: 0.3057 0.0000 0.8355
Ge: 0.6943 0.5000 0.6645
Ge: 0.3057 0.5000 0.3355

Values from the calculation:
The mass density is 8.915 g cm⁻³. Its space group is No. 12. The crystal system is monoclinic. Its size of the total moment is 0.00 μB per formula unit.

***

Arrangement two

The following is a DFT calculation (PBE-GGA) of an optimized crystal structure of NbTcGe.

Lattice parameters (Å, degrees): 3.0913 13.9208 4.5219 90.00 90.00 90.00
Fractional coordinates of all 12 atoms:
Nb: 0.0000 0.6663 0.6667
Nb: 0.0000 0.3337 0.6667
Nb: 0.5000 0.1663 0.1667
Nb: 0.5000 0.8337 0.1667
Tc: 0.0000 0.0000 0.0809
Tc: 0.5000 0.5000 0.5809
Tc: 0.0000 0.5000 0.0779
Tc: 0.5000 0.0000 0.5779
Ge: 0.0000 0.8567 0.6652
Ge: 0.0000 0.1433 0.6652
Ge: 0.5000 0.3567 0.1652
Ge: 0.5000 0.6433 0.1652

Values from the calculation:
The mass density is 8.996 g cm⁻³. Its space group is No. 44. The crystal system is orthorhombic. Its size of the total moment is 0.00 μB per formula unit.

***

Arrangement three

The following is a DFT calculation (PBE-GGA) of an optimized crystal structure of NbTcGe.

Lattice parameters (Å, degrees): 6.9370 3.0647 10.2992 90.00 117.78 90.00
Fractional coordinates of all 12 atoms:
Nb: 0.3076 0.0000 0.0680
Nb: 0.6924 0.0000 0.9320
Nb: 0.3076 0.5000 0.5680
Nb: 0.6924 0.5000 0.4320
Tc: 0.9608 0.0000 0.3551
Tc: 0.0392 0.0000 0.6449
Tc: 0.9608 0.5000 0.8551
Tc: 0.0392 0.5000 0.1449
Ge: 0.6744 0.0000 0.6587
Ge: 0.3256 0.0000 0.3413
Ge: 0.6744 0.5000 0.1587
Ge: 0.3256 0.5000 0.8413

Values from the calculation:
The mass density is 9.036 g cm⁻³. Its space group is No. 12. The crystal system is monoclinic. Its size of the total moment is 0.00 μB per formula unit.

***

Arrangement four

The following is a DFT calculation (PBE-GGA) of an optimized crystal structure of NbTcGe.

Lattice parameters (Å, degrees): 3.9548 3.9548 12.8551 90.00 90.00 90.00
Fractional coordinates of all 12 atoms:
Nb: 0.0000 0.0000 0.3475
Nb: 0.0000 0.0000 0.6525
Nb: 0.5000 0.5000 0.8475
Nb: 0.5000 0.5000 0.1525
Tc: 0.0000 0.5000 0.0000
Tc: 0.5000 0.0000 0.0000
Tc: 0.5000 0.0000 0.5000
Tc: 0.0000 0.5000 0.5000
Ge: 0.0000 0.0000 0.1369
Ge: 0.0000 0.0000 0.8631
Ge: 0.5000 0.5000 0.6369
Ge: 0.5000 0.5000 0.3631

Values from the calculation:
The mass density is 8.706 g cm⁻³. Its space group is No. 139. The crystal system is tetragonal. Its size of the total moment is 0.00 μB per formula unit.

***

Quick ranking, most stable first: arrangement three, arrangement four, arrangement two, arrangement one.

***

Arrangement one

The following is a DFT calculation (PBE-GGA) of an optimized crystal structure of NbTcGe.

Lattice parameters (Å, degrees): 2.9279 4.3045 7.7934 90.00 97.03 90.00
Fractional coordinates of all 6 atoms:
Nb: 0.2745 0.0000 0.3760
Nb: 0.2745 0.5000 0.8760
Tc: 0.6861 0.0000 0.0453
Tc: 0.6861 0.5000 0.5453
Ge: 0.7236 0.0000 0.7212
Ge: 0.7236 0.5000 0.2212

Values from the calculation:
The mass density is 8.979 g cm⁻³. Its space group is No. 8. The crystal system is monoclinic. Its size of the total moment is 0.00 μB per formula unit.

***

Arrangement two

The following is a DFT calculation (PBE-GGA) of an optimized crystal structure of NbTcGe.

Lattice parameters (Å, degrees): 2.7754 7.2848 2.7754 79.02 90.00 100.98
Fractional coordinates of all 3 atoms:
Nb: 0.0544 0.1088 0.9456
Tc: 0.2340 0.4679 0.7660
Ge: 0.8616 0.7233 0.1384

Values from the calculation:
The mass density is 8.098 g cm⁻³. Its space group is No. 107. The crystal system is tetragonal. Its size of the total moment is 0.00 μB per formula unit.

***

Quick ranking, most stable first: arrangement one, arrangement two.